A relaxed KCr2CoSi crystal, computed with GGA-PBE.

a = 4.944 Å, b = 4.397 Å, c = 4.944 Å
α = 90.00°, β = 90.00°, γ = 90.00°
Each line ends with the local moment (μB).
Atoms (fractional coordinates):
Cr 0.500 0.000 0.000  -3.71
K 0.500 0.500 0.500  -0.06
Co 0.000 0.500 0.000  0.94
Cr 0.000 0.000 0.500  -3.93
Si 0.000 0.000 0.000  0.09

Summary:
Crystal system = tetragonal
E_form (uncorrected) = 0.8554 eV/atom
SG = P4/mmm

A relaxed Nd10Ge3Bi3 crystal, computed with GGA-PBE.

a = 6.632 Å, b = 9.214 Å, c = 9.214 Å
α = 120.00°, β = 90.00°, γ = 90.00°
Atoms (fractional coordinates):
Nd 0.000 0.244 0.000
Nd 0.000 0.756 0.756
Bi 0.000 0.393 0.393
Nd 0.739 0.667 0.333
Ge 0.500 0.386 0.000
Ge 0.500 0.614 0.614
Nd 0.000 0.000 0.244
Bi 0.000 0.607 0.000
Bi 0.000 0.000 0.607
Nd 0.261 0.333 0.667
Ge 0.500 0.000 0.386
Nd 0.500 0.755 0.000
Nd 0.261 0.667 0.333
Nd 0.739 0.333 0.667
Nd 0.500 0.245 0.245
Nd 0.500 0.000 0.755

Summary:
Crystal system = hexagonal
SG = P-62m

A relaxed KBaTl2Sb2 crystal, computed with GGA-PBE.

a = 5.534 Å, b = 5.534 Å, c = 7.980 Å
α = 90.00°, β = 90.00°, γ = 120.00°
Atoms (fractional coordinates):
Sb 0.667 0.333 0.752
K 0.000 0.000 0.500
Sb 0.333 0.667 0.248
Ba 0.000 0.000 0.000
Tl 0.667 0.333 0.325
Tl 0.333 0.667 0.675

Summary:
Crystal system = trigonal
E_form (uncorrected) = -0.4268 eV/atom
SG = P-3m1

A relaxed Tc2Ni2Ir crystal, computed with GGA-PBE.

a = 6.871 Å, b = 6.871 Å, c = 2.789 Å
α = 90.00°, β = 90.00°, γ = 90.00°
Atoms (fractional coordinates):
Ni 0.878 0.622 0.000
Tc 0.326 0.174 0.500
Ni 0.622 0.122 0.000
Ni 0.122 0.378 0.000
Tc 0.826 0.326 0.500
Tc 0.674 0.826 0.500
Ni 0.378 0.878 0.000
Ir 0.500 0.500 0.000
Ir 0.000 0.000 0.000
Tc 0.174 0.674 0.500

Summary:
Crystal system = tetragonal
SG = P4/mbm

A relaxed RbHg6Au crystal, computed with GGA-PBE.

a = 5.755 Å, b = 4.761 Å, c = 10.371 Å
α = 76.73°, β = 75.67°, γ = 65.57°
Atoms (fractional coordinates):
Hg 0.648 0.795 0.762
Hg 0.318 0.383 0.916
Hg 0.352 0.205 0.238
Rb 0.500 0.500 0.500
Hg 0.954 0.876 0.295
Hg 0.682 0.617 0.084
Au 0.000 0.000 0.000
Hg 0.046 0.124 0.705

Summary:
Crystal system = monoclinic
SG = C2/m

A relaxed Pm2ScTlC crystal, computed with GGA-PBE.

a = 4.573 Å, b = 5.128 Å, c = 5.128 Å
α = 90.00°, β = 90.00°, γ = 90.00°
Atoms (fractional coordinates):
Pm 0.000 0.000 0.500
Pm 0.000 0.500 0.000
C 0.000 0.000 0.000
Tl 0.500 0.500 0.500
Sc 0.500 0.000 0.000

Summary:
Crystal system = tetragonal
SG = P4/mmm

A relaxed Hf2NbCd2 crystal, computed with GGA-PBE.

a = 3.050 Å, b = 3.041 Å, c = 11.805 Å
α = 82.60°, β = 90.00°, γ = 90.00°
Atoms (fractional coordinates):
Cd 0.000 0.806 0.388
Cd 0.000 0.194 0.612
Hf 0.500 0.408 0.183
Hf 0.500 0.592 0.817
Nb 0.000 0.000 0.000

Summary:
Crystal system = orthorhombic
Energy above the lowest structure with this stoichiometry = 0.0000 eV/atom
SG = Cmmm

A relaxed CaY2HoSe4 crystal, computed with GGA-PBE.

a = 4.084 Å, b = 7.103 Å, c = 7.114 Å
α = 109.15°, β = 90.00°, γ = 90.00°
Atoms (fractional coordinates):
Se 0.000 0.252 0.752
Se 0.500 0.252 0.250
Ho 0.500 0.500 0.000
Y 0.000 0.500 0.500
Se 0.000 0.748 0.248
Ca 0.000 0.000 0.000
Se 0.500 0.748 0.750
Y 0.500 0.000 0.500

Summary:
Crystal system = monoclinic
E_form (uncorrected) = -1.8099 eV/atom
SG = P2/m

Number 1: raw total energy -5.72 eV/atom. Number 2: raw total energy -5.29 eV/atom. Number 3: raw total energy -3.09 eV/atom. Number 4: raw total energy -8.07 eV/atom. Number 5: raw total energy -0.85 eV/atom. Number 6: raw total energy -5.88 eV/atom. Number 7: raw total energy -6.31 eV/atom. Number 8: raw total energy -5.99 eV/atom.